Entry 1:
A plane-wave DFT calculation with PBE was carried out for a relaxed NbGeSb crystal.

Computed properties:
As for the space group: No. 8. For the density of states at the Fermi level, the calculation gives 0.292 states/eV per atom. Its raw total energy is -76.863 eV/cell. The calculation puts the formation energy from raw total energies at -0.41 eV per formula unit. Its theoretical density is 7.66 g/cm³.

Cell: 7.814 3.558 9.899 Å, 90.00 115.18 90.00°
Sites, in units of the cell vectors:
Ge: 0.345 0.000 0.281
Sb: 0.673 0.000 0.718
Nb: 0.285 0.500 0.053
Nb: 0.583 0.000 0.969
Sb: 0.673 0.500 0.218
Ge: 0.115 0.000 0.842
Sb: 0.907 0.500 0.034
Nb: 0.285 0.000 0.553
Sb: 0.907 0.000 0.534
Ge: 0.115 0.500 0.342
Nb: 0.583 0.500 0.469
Ge: 0.345 0.500 0.781

=====

Entry 2:
A plane-wave DFT calculation with PBE was carried out for a relaxed Y7Th2Sc2 crystal.

Computed properties:
As for the space group: No. 12. For the density of states at the Fermi level, the calculation gives 1.764 states/eV per atom. Its raw total energy is -71.279 eV/cell. As for the offset from the most stable computed form: 0 meV/atom. Its calculated formation energy is 0.13 eV per atom. Its theoretical density is 5.63 g/cm³.

Cell: 8.249 6.673 6.673 Å, 101.96 80.56 80.56°
Sites, in units of the cell vectors:
Y: 0.820 0.501 0.912
Y: 0.000 0.000 0.000
Th: 0.181 0.585 0.585
Th: 0.819 0.415 0.415
Y: 0.541 0.187 0.187
Y: 0.180 0.088 0.499
Sc: 0.500 0.295 0.705
Sc: 0.500 0.705 0.295
Y: 0.459 0.813 0.813
Y: 0.820 0.912 0.501
Y: 0.180 0.499 0.088

=====

Entry 3:
A plane-wave DFT calculation with PBE was carried out for a relaxed NbTe4 crystal.

Computed properties:
As for the space group: No. 130. For the density of states at the Fermi level, the calculation gives 0.233 states/eV per atom. Its raw total energy is -291.881 eV/cell. The calculation puts the formation energy from raw total energies at -1.69 eV per formula unit. As for the offset from the most stable computed form: 0 meV/atom. Its theoretical density is 6.58 g/cm³.

Cell: 9.340 9.340 20.952 Å, 90.00 90.00 90.00°
Sites, in units of the cell vectors:
Te: 0.262 0.908 0.503
Te: 0.738 0.092 0.503
Te: 0.408 0.238 0.503
Te: 0.416 0.242 0.164
Te: 0.592 0.238 0.003
Nb: 0.500 0.000 0.084
Te: 0.238 0.408 0.997
Nb: 0.500 0.000 0.737
Te: 0.916 0.258 0.336
Te: 0.092 0.738 0.997
Nb: 0.500 0.000 0.931
Te: 0.758 0.584 0.336
Te: 0.584 0.242 0.664
Te: 0.596 0.785 0.834
Te: 0.408 0.762 0.003
Te: 0.285 0.096 0.334
Te: 0.592 0.762 0.503
Te: 0.404 0.785 0.334
Te: 0.596 0.215 0.334
Te: 0.238 0.592 0.497
Te: 0.096 0.285 0.166
Nb: 0.500 0.000 0.431
Te: 0.715 0.096 0.834
Te: 0.908 0.262 0.997
Te: 0.096 0.715 0.666
Nb: 0.000 0.500 0.569
Te: 0.262 0.092 0.003
Nb: 0.000 0.500 0.763
Te: 0.785 0.596 0.666
Te: 0.738 0.908 0.003
Te: 0.285 0.904 0.834
Te: 0.908 0.738 0.497
Te: 0.715 0.904 0.334
Te: 0.904 0.715 0.166
Te: 0.762 0.592 0.997
Nb: 0.000 0.500 0.416
Te: 0.404 0.215 0.834
Te: 0.215 0.404 0.666
Te: 0.916 0.742 0.836
Te: 0.416 0.758 0.664
Te: 0.258 0.916 0.164
Nb: 0.000 0.500 0.069
Te: 0.084 0.742 0.336
Te: 0.758 0.416 0.836
Nb: 0.000 0.500 0.916
Te: 0.904 0.285 0.666
Te: 0.785 0.404 0.166
Te: 0.242 0.584 0.836
Te: 0.258 0.084 0.664
Nb: 0.500 0.000 0.584
Te: 0.762 0.408 0.497
Te: 0.742 0.916 0.664
Nb: 0.500 0.000 0.237
Te: 0.084 0.258 0.836
Te: 0.242 0.416 0.336
Te: 0.092 0.262 0.497
Te: 0.584 0.758 0.164
Nb: 0.000 0.500 0.263
Te: 0.742 0.084 0.164
Te: 0.215 0.596 0.166

=====

Entry 4:
A plane-wave DFT calculation with PBE was carried out for a relaxed Sc3Mn4S8 crystal.

Computed properties:
As for the space group: No. 166. For the density of states at the Fermi level, the calculation gives 0.131 states/eV per atom. Its raw total energy is -105.953 eV/cell. The calculation puts the formation energy from raw total energies at -17.26 eV per formula unit. Its theoretical density is 3.40 g/cm³.

Cell: 7.378 7.378 7.632 Å, 61.09 61.09 60.00°
Sites, in units of the cell vectors:
S: 0.761 0.761 0.718
S: 0.759 0.250 0.742
Mn: 0.000 0.000 0.000
S: 0.241 0.750 0.258
S: 0.250 0.759 0.742
S: 0.750 0.241 0.258
Mn: 0.361 0.361 0.916
Sc: 0.500 0.000 0.500
Mn: 0.639 0.639 0.084
Sc: 0.000 0.000 0.500
S: 0.239 0.239 0.282
Mn: 0.500 0.500 0.500
S: 0.250 0.250 0.742
Sc: 0.000 0.500 0.500
S: 0.750 0.750 0.258

=====

Entry 5:
A plane-wave DFT calculation with PBE was carried out for a relaxed KSe2F crystal.

Computed properties:
As for the space group: No. 166. For the density of states at the Fermi level, the calculation gives 0.834 states/eV per atom. Its raw total energy is -10.462 eV/cell. The calculation puts the formation energy from raw total energies at -0.52 eV per formula unit. As for the offset from the most stable computed form: 1055 meV/atom. Its theoretical density is 3.55 g/cm³.

Cell: 9.481 9.481 9.481 Å, 21.59 21.59 21.59°
Sites, in units of the cell vectors:
F: 0.000 0.000 0.000
Se: 0.076 0.076 0.076
K: 0.500 0.500 0.500
Se: 0.924 0.924 0.924

=====

Entry 6:
A plane-wave DFT calculation with PBE was carried out for a relaxed ReAgPb crystal.

Computed properties:
As for the space group: No. 107. For the density of states at the Fermi level, the calculation gives 0.813 states/eV per atom. Its raw total energy is -16.190 eV/cell. As for the offset from the most stable computed form: 21 meV/atom. Its calculated formation energy is 0.94 eV per atom. Its theoretical density is 13.34 g/cm³.

Cell: 7.503 7.503 7.503 Å, 157.39 157.39 32.19°
Sites, in units of the cell vectors:
Ag: 0.024 0.024 0.000
Pb: 0.317 0.317 0.000
Re: 0.659 0.659 0.000

=====

Entry 7:
A plane-wave DFT calculation with PBE was carried out for a relaxed Rb2AcB2S6 crystal.

Computed properties:
As for the space group: No. 12. For the density of states at the Fermi level, the calculation gives 0.570 states/eV per atom. Its raw total energy is -55.085 eV/cell. The calculation puts the formation energy from raw total energies at -10.92 eV per formula unit. Its theoretical density is 3.13 g/cm³.

Cell: 6.831 6.914 8.937 Å, 113.84 90.00 119.60°
Sites, in units of the cell vectors:
B: 0.059 0.118 0.270
S: 0.227 0.453 0.347
S: 0.198 0.942 0.223
Ac: 0.500 0.000 0.500
Rb: 0.302 0.605 0.830
Rb: 0.698 0.395 0.170
B: 0.941 0.882 0.730
S: 0.257 0.058 0.777
S: 0.773 0.547 0.653
S: 0.802 0.058 0.777
S: 0.743 0.942 0.223

=====

Entry 8:
A plane-wave DFT calculation with PBE was carried out for a relaxed NaMo2Pb crystal.

Computed properties:
As for the space group: No. 122. For the density of states at the Fermi level, the calculation gives 1.176 states/eV per atom. Its raw total energy is -42.628 eV/cell. Its calculated formation energy is 1.34 eV per atom. Its theoretical density is 8.13 g/cm³.

Cell: 8.104 8.104 6.303 Å, 49.99 49.99 90.00°
Sites, in units of the cell vectors:
Mo: 0.660 0.125 0.250
Na: 0.250 0.750 0.500
Mo: 0.875 0.910 0.750
Na: 0.500 0.500 0.000
Mo: 0.090 0.625 0.250
Pb: 0.750 0.250 0.500
Mo: 0.375 0.340 0.750
Pb: 0.000 0.000 0.000